Entry 1:
Compound: GaSb3Os
Source: the Alexandria database
Functional: SCAN
Structure: PBEsol geometry

a = 5.010 Å, b = 5.010 Å, c = 5.010 Å
α = 90.00°, β = 90.00°, γ = 90.00°
Last column: magnetic moment on the atom in μB.
Sites, in units of the cell vectors:
Sb  0.000  0.000  0.500  -0.02
Sb  0.500  0.000  0.000  -0.02
Ga  0.000  0.000  0.000  0.00
Sb  0.000  0.500  0.000  -0.02
Os  0.500  0.500  0.500  1.63

SG: No. 221
Uncorrected formation energy (eV/atom): 1.64

---

Entry 2:
Compound: FeIr2Se
Source: the Alexandria database
Functional: SCAN
Structure: PBEsol geometry

a = 2.781 Å, b = 3.551 Å, c = 5.686 Å
α = 90.00°, β = 90.00°, γ = 90.00°
Last column: magnetic moment on the atom in μB.
Sites, in units of the cell vectors:
Ir  0.000  0.000  0.979  0.04
Se  0.000  0.000  0.527  -0.02
Ir  0.500  0.500  0.236  -0.27
Fe  0.500  0.500  0.758  2.86

SG: No. 25
Uncorrected formation energy (eV/atom): 0.39

---

Entry 3:
Compound: SiHgTe2
Source: the Alexandria database
Functional: SCAN
Structure: PBEsol geometry

a = 5.123 Å, b = 5.123 Å, c = 5.123 Å
α = 60.00°, β = 60.00°, γ = 60.00°
Sites, in units of the cell vectors:
Te  0.000  0.000  0.000
Te  0.250  0.250  0.250
Si  0.750  0.750  0.750
Hg  0.500  0.500  0.500

SG: No. 216
Energy relative to the lowest polymorph listed for this composition (meV/atom): 496
Uncorrected formation energy (eV/atom): 0.58

---

Entry 4:
Compound: BeReHg
Source: the Alexandria database
Functional: SCAN
Structure: PBEsol geometry

a = 4.245 Å, b = 4.245 Å, c = 4.245 Å
α = 60.00°, β = 60.00°, γ = 60.00°
Last column: magnetic moment on the atom in μB.
Sites, in units of the cell vectors:
Re  0.000  0.000  0.000  2.09
Hg  0.250  0.250  0.250  0.09
Be  0.500  0.500  0.500  -0.05

Energy of formation from the pure elements (eV per atom): 1.476
SG: No. 216
Energy relative to the lowest polymorph listed for this composition (meV/atom): 900

---

Entry 5:
Compound: Be2FeTe
Source: the Alexandria database
Functional: SCAN
Structure: PBEsol geometry

a = 3.759 Å, b = 3.759 Å, c = 4.765 Å
α = 66.78°, β = 66.78°, γ = 60.00°
Last column: magnetic moment on the atom in μB.
Sites, in units of the cell vectors:
Be  0.755  0.755  0.734  -0.08
Fe  0.447  0.447  0.659  1.38
Te  0.245  0.245  0.263  -0.03
Be  0.052  0.052  0.844  -0.04

SG: No. 160
Uncorrected formation energy (eV/atom): 0.29

---

Entry 6:
Compound: KBe2Ru
Source: the Alexandria database
Functional: SCAN
Structure: PBEsol geometry

a = 3.075 Å, b = 3.375 Å, c = 6.889 Å
α = 90.00°, β = 92.79°, γ = 90.00°
Last column: magnetic moment on the atom in μB.
Sites, in units of the cell vectors:
Be  0.853  0.000  0.925  -0.01
K  0.421  0.000  0.508  0.04
Be  0.876  0.500  0.143  0.05
Ru  0.350  0.500  0.924  0.22

Energy of formation from the pure elements (eV per atom): 0.350
SG: No. 6
Energy relative to the lowest polymorph listed for this composition (meV/atom): 0

---

Entry 7:
Compound: YMo2P
Source: the Alexandria database
Functional: SCAN
Structure: PBEsol geometry

a = 3.168 Å, b = 4.461 Å, c = 5.562 Å
α = 113.39°, β = 106.21°, γ = 90.81°
Sites, in units of the cell vectors:
Y  0.000  0.500  0.000
P  0.500  0.000  0.000
Mo  0.500  0.500  0.500
Mo  0.000  0.000  0.500

Energy of formation from the pure elements (eV per atom): 0.194
SG: No. 12

---

Entry 8:
Compound: Mg2V2CoO8
Source: the Alexandria database
Functional: SCAN
Structure: PBEsol geometry

a = 5.956 Å, b = 6.457 Å, c = 8.253 Å
α = 90.00°, β = 90.00°, γ = 117.46°
Last column: magnetic moment on the atom in μB.
Sites, in units of the cell vectors:
O  0.150  0.770  0.502  0.02
O  0.620  0.770  0.502  0.02
O  0.001  0.002  0.743  0.04
Mg  0.116  0.732  0.250  0.00
O  0.380  0.230  0.498  0.02
Mg  0.616  0.732  0.250  0.00
Mg  0.884  0.268  0.750  0.00
Co  0.000  0.000  0.500  2.58
V  0.379  0.759  0.621  0.09
O  0.120  0.770  0.998  0.02
O  0.850  0.230  0.498  0.02
O  0.248  0.497  0.228  0.00
O  0.748  0.497  0.272  0.00
O  0.499  0.998  0.243  0.04
V  0.621  0.241  0.379  0.09
O  0.350  0.230  0.002  0.02
O  0.880  0.230  0.002  0.02
V  0.121  0.241  0.121  0.09
Mg  0.384  0.268  0.750  0.00
O  0.752  0.503  0.772  0.00
O  0.501  0.002  0.757  0.04
O  0.650  0.770  0.998  0.02
O  0.999  0.998  0.257  0.04
O  0.252  0.503  0.728  0.00
Co  0.500  0.000  0.000  2.58
V  0.879  0.759  0.879  0.09

SG: No. 64
Uncorrected formation energy (eV/atom): -2.57